Computed, not measured: an optimized crystal structure of Zr2BeCu at the PBE-GGA level of DFT.

Computed properties:
- VASP energy (eV/f.u.) = -25.03
- space-group type = P4mm
- M_tot (μB/f.u.) = 0.000
- E_form (eV/atom) = -0.0272

Cell lengths 3.0111, 3.0111, 7.3472 Å; angles 90.00, 90.00, 90.00 degrees
Element x y z (fractional)
1 Cu 0.5000 0.5000 0.6890
2 Be 0.0000 0.0000 0.5568
3 Zr 0.5000 0.5000 0.2872
4 Zr 0.0000 0.0000 0.9670


Computed, not measured: an optimized crystal structure of ZrBe2Cu at the PBE-GGA level of DFT.

Computed properties:
- VASP energy (eV/f.u.) = -20.25
- energy above the lowest structure with this stoichiometry (meV/atom) = 103
- space-group type = Pmmm
- M_tot (μB/f.u.) = 0.000
- E_form (eV/atom) = -0.0386

Cell lengths 2.6713, 3.0896, 6.1867 Å; angles 90.00, 90.00, 90.00 degrees
Element x y z (fractional)
1 Cu 0.5000 0.5000 0.2500
2 Be 0.0000 0.0000 0.4418
3 Be 0.0000 0.0000 0.0582
4 Zr 0.5000 0.5000 0.7500


Computed, not measured: an optimized crystal structure of Zr2BeCu at the PBE-GGA level of DFT.

Computed properties:
- VASP energy (eV/f.u.) = -23.52
- space-group type = I-42d
- M_tot (μB/f.u.) = 0.000
- E_form (eV/atom) = 0.3502

Cell lengths 7.2797, 7.2797, 5.7942 Å; angles 51.08, 51.08, 90.00 degrees
Element x y z (fractional)
1 Be 0.5000 0.5000 0.0000
2 Be 0.2500 0.7500 0.5000
3 Zr 0.3750 0.3789 0.7500
4 Zr 0.1289 0.6250 0.2500
5 Zr 0.8750 0.8711 0.7500
6 Zr 0.6211 0.1250 0.2500
7 Cu 0.7500 0.2500 0.5000
8 Cu 0.0000 0.0000 0.0000